Entry 1:
A PBEsol-optimized structure of FeWAu2, computed with meta-GGA SCAN.

The structure in POSCAR format:
```
FeWAu2
1.0
2.831 0.000 0.000
0.000 4.584 0.000
0.000 0.000 4.766
Fe W Au
1 1 2
direct
0.000 0.000 0.000
0.500 0.500 0.000
0.000 0.500 0.500
0.500 0.000 0.500
```

crystal system = orthorhombic
theoretical density = 17015 kg/m³
SG = Pmmm
energy of formation from the pure elements = 0.485 eV per atom


Entry 2:
A PBEsol-optimized structure of K2CrCo, computed with meta-GGA SCAN.

The structure in POSCAR format:
```
K2CrCo
1.0
3.221 0.000 0.000
0.000 3.221 0.000
0.000 0.000 10.083
K Cr Co
2 1 1
direct
0.000 0.000 0.000
0.500 0.500 0.417
0.500 0.500 0.733
0.000 0.000 0.675
```

crystal system = tetragonal
theoretical density = 3002 kg/m³
SG = P4mm
energy of formation from the pure elements = 0.766 eV per atom


Entry 3:
A PBEsol-optimized structure of Te2PAu2, computed with meta-GGA SCAN.

The structure in POSCAR format:
```
Te2PAu2
1.0
-2.778 2.778 3.750
2.778 -2.778 3.750
2.778 2.778 -3.750
Te P Au
2 1 2
direct
0.250 0.750 0.500
0.750 0.250 0.500
0.000 0.000 0.000
0.323 0.323 0.000
0.677 0.677 0.000
```

formation energy from raw total energies = 37.12 kJ/mol of atoms
crystal system = tetragonal
theoretical density = 9758 kg/m³
SG = I4/mmm


Entry 4:
A PBEsol-optimized structure of Sc2SbP, computed with meta-GGA SCAN.

The structure in POSCAR format:
```
Sc2SbP
1.0
0.000 3.418 3.418
3.418 0.000 3.418
3.418 3.418 0.000
Sc Sb P
2 1 1
direct
0.250 0.250 0.250
0.750 0.750 0.750
0.000 0.000 0.000
0.500 0.500 0.500
```

formation energy from raw total energies = -70.32 kJ/mol of atoms
crystal system = cubic
theoretical density = 5046 kg/m³
SG = Fm-3m


Entry 5:
A PBEsol-optimized structure of CaCr2Au, computed with meta-GGA SCAN.

The structure in POSCAR format:
```
CaCr2Au
1.0
2.899 -4.863 0.000
2.899 4.863 0.000
-1.435 0.000 2.662
Ca Cr Au
1 2 1
direct
0.000 0.000 0.000
0.000 0.500 0.500
0.500 0.000 0.500
0.500 0.500 0.000
```

crystal system = monoclinic
theoretical density = 7544 kg/m³
SG = C2/m
energy of formation from the pure elements = 0.273 eV per atom


Entry 6:
A PBEsol-optimized structure of Al3Cu2, computed with meta-GGA SCAN.

The structure in POSCAR format:
```
Al3Cu2
1.0
4.096 0.000 0.000
-2.048 3.547 0.000
0.000 0.000 4.983
Al Cu
3 2
direct
0.000 0.000 0.000
0.333 0.667 0.352
0.667 0.333 0.648
0.333 0.667 0.842
0.667 0.333 0.158
```

crystal system = trigonal
theoretical density = 4771 kg/m³
SG = P-3m1
energy of formation from the pure elements = -0.261 eV per atom